! PBE-GGA KMoAs2, relaxed; values from VASP
&SYSTEM
  ibrav = 0, nat = 4, ntyp = 3
/
ATOMIC_SPECIES
K 39.10 K.upf
Mo 95.94 Mo.upf
As 74.92 As.upf
ATOMIC_POSITIONS angstrom
K 0.000 0.000 0.000
Mo 0.000 0.000 12.864
As 0.000 0.000 5.949
As 0.000 0.000 19.779
CELL_PARAMETERS angstrom
1.719 0.992 8.576
-1.719 0.992 8.576
0.000 -1.985 8.576
! calculated total energy: -5.52 eV per atom
! SG: R-3m
! formation energy from the elements: -0.84 eV per formula unit
! energy above the most stable polymorph in this dataset: 14 meV/atom